(1)
Computed, not measured: a relaxed LaCo9Si4 crystal at the PBE-GGA level of DFT.

The volume comes out at 685.01 Å³ per cell. Its total energy is -97.1 eV per formula unit.

The structure belongs to space group I4/mcm (No. 140); the cell edges are 7.737, 7.737 and 11.444 Å and the angles 90.00°, 90.00° and 90.00°. The distinct sites, in fractional coordinates, are La at (0.000, 0.000, 0.250), Co at (0.000, 0.500, 0.000), Co at (0.070, 0.200, 0.000), Co at (0.129, 0.371, 0.180) and Si at (0.169, 0.331, 0.379).


(2)
Computed, not measured: a relaxed LaSmCo2Si2 crystal at the PBE-GGA level of DFT.

The volume comes out at 114.13 Å³ per cell. Its total energy is -38.9 eV per formula unit.

The structure belongs to space group P4mm (No. 99); the cell edges are 4.027, 4.027 and 7.037 Å and the angles 90.00°, 90.00° and 90.00°. The distinct sites, in fractional coordinates, are La at (0.000, 0.000, 0.000), Sm at (0.500, 0.500, 0.370), Co at (0.000, 0.500, 0.675), Si at (0.000, 0.000, 0.506) and Si at (0.500, 0.500, 0.841).


(3)
Computed, not measured: a relaxed La2Co2SiSn crystal at the PBE-GGA level of DFT.

The volume comes out at 129.58 Å³ per cell. Its total energy is -36.7 eV per formula unit.

The structure belongs to space group P4mm (No. 99); the cell edges are 4.269, 4.269 and 7.109 Å and the angles 90.00°, 90.00° and 90.00°. The distinct sites, in fractional coordinates, are La at (0.000, 0.000, 0.000), La at (0.500, 0.500, 0.371), Co at (0.000, 0.500, 0.715), Si at (0.500, 0.500, 0.861) and Sn at (0.000, 0.000, 0.508).


(4)
Computed, not measured: a relaxed SrLaCo2Si2 crystal at the PBE-GGA level of DFT.

The volume comes out at 119.36 Å³ per cell. Its total energy is -34.9 eV per formula unit.

The structure belongs to space group P4mm (No. 99); the cell edges are 4.023, 4.023 and 7.373 Å and the angles 90.00°, 90.00° and 90.00°. The distinct sites, in fractional coordinates, are Sr at (0.000, 0.000, 0.000), La at (0.500, 0.500, 0.641), Co at (0.000, 0.500, 0.331), Si at (0.000, 0.000, 0.487) and Si at (0.500, 0.500, 0.169).


(5)
Computed, not measured: a relaxed LaTbCo2Si4 crystal at the PBE-GGA level of DFT.

The volume comes out at 136.57 Å³ per cell. Its energy above the most stable polymorph in this dataset is 0.88 kJ/mol of atoms. Its total energy is -51.5 eV per formula unit.

The structure belongs to space group Pm (No. 6); the cell edges are 4.300, 4.023 and 8.112 Å and the angles 90.00°, 103.27° and 90.00°. The distinct sites, in fractional coordinates, are La at (0.000, 0.000, 0.000), Tb at (0.801, 0.500, 0.593), Co at (0.282, 0.000, 0.415), Co at (0.533, 0.500, 0.187), Si at (0.087, 0.500, 0.297), Si at (0.354, 0.000, 0.702), Si at (0.445, 0.500, 0.886) and Si at (0.727, 0.000, 0.311).


(6)
Computed, not measured: a relaxed LaTbCo2Si4 crystal at the PBE-GGA level of DFT.

The volume comes out at 273.23 Å³ per cell. Its energy above the most stable polymorph in this dataset is 0.00 kJ/mol of atoms. Its total energy is -51.5 eV per formula unit.

The structure belongs to space group Amm2 (No. 38); the cell edges are 4.036, 4.124 and 16.417 Å and the angles 90.00°, 90.00° and 90.00°. The distinct sites, in fractional coordinates, are La at (0.000, 0.000, 0.000), Tb at (0.500, 0.000, 0.216), Co at (0.000, 0.000, 0.787), Co at (0.500, 0.000, 0.426), Si at (0.000, 0.000, 0.354), Si at (0.000, 0.000, 0.652), Si at (0.500, 0.000, 0.566) and Si at (0.500, 0.000, 0.855).


(7)
Computed, not measured: a relaxed LaCoSi2Tc crystal at the PBE-GGA level of DFT.

The volume comes out at 173.20 Å³ per cell. Its total energy is -36.7 eV per formula unit.

The structure belongs to space group I-4m2 (No. 119); the cell edges are 4.171, 4.171 and 9.955 Å and the angles 90.00°, 90.00° and 90.00°. The distinct sites, in fractional coordinates, are La at (0.000, 0.000, 0.000), Co at (0.000, 0.500, 0.750), Si at (0.000, 0.000, 0.363) and Tc at (0.000, 0.500, 0.250).


(8)
Computed, not measured: a relaxed LaYCo2Si4 crystal at the PBE-GGA level of DFT.

The volume comes out at 136.55 Å³ per cell. Its energy above the most stable polymorph in this dataset is 0.83 kJ/mol of atoms. Its total energy is -53.3 eV per formula unit.

The structure belongs to space group Pm (No. 6); the cell edges are 4.306, 4.024 and 8.097 Å and the angles 90.00°, 103.28° and 90.00°. The distinct sites, in fractional coordinates, are La at (0.000, 0.000, 0.000), Y at (0.801, 0.500, 0.594), Co at (0.282, 0.000, 0.416), Co at (0.532, 0.500, 0.188), Si at (0.085, 0.500, 0.297), Si at (0.355, 0.000, 0.702), Si at (0.445, 0.500, 0.887) and Si at (0.727, 0.000, 0.311).


(9)
Computed, not measured: a relaxed LaYCo2Si4 crystal at the PBE-GGA level of DFT.

The volume comes out at 272.06 Å³ per cell. Its energy above the most stable polymorph in this dataset is 0.00 kJ/mol of atoms. Its total energy is -53.4 eV per formula unit.

The structure belongs to space group Amm2 (No. 38); the cell edges are 4.026, 4.121 and 16.397 Å and the angles 90.00°, 90.00° and 90.00°. The distinct sites, in fractional coordinates, are La at (0.000, 0.000, 0.000), Y at (0.500, 0.000, 0.784), Co at (0.000, 0.000, 0.213), Co at (0.500, 0.000, 0.574), Si at (0.000, 0.000, 0.348), Si at (0.000, 0.000, 0.646), Si at (0.500, 0.000, 0.145) and Si at (0.500, 0.000, 0.434).


(10)
Computed, not measured: a relaxed La3Co4Sn13 crystal at the PBE-GGA level of DFT.

The volume comes out at 908.14 Å³ per cell. Its total energy is -103.2 eV per formula unit.

The structure belongs to space group Pm-3n (No. 223); the cell edges are 9.684, 9.684 and 9.684 Å and the angles 90.00°, 90.00° and 90.00°. The distinct sites, in fractional coordinates, are La at (0.000, 0.250, 0.500), Co at (0.250, 0.250, 0.250), Sn at (0.000, 0.000, 0.000) and Sn at (0.000, 0.302, 0.157).


(11)
Computed, not measured: a relaxed LaCoSn crystal at the PBE-GGA level of DFT.

The volume comes out at 357.68 Å³ per cell. Its total energy is -14.3 eV per formula unit.

The structure belongs to space group F-43m (No. 216); the cell edges are 7.098, 7.098 and 7.098 Å and the angles 90.00°, 90.00° and 90.00°. The distinct sites, in fractional coordinates, are La at (0.000, 0.000, 0.000), Co at (0.250, 0.250, 0.750) and Sn at (0.250, 0.250, 0.250).


(12)
Computed, not measured: a relaxed LaCoSn crystal at the PBE-GGA level of DFT.

The volume comes out at 289.75 Å³ per cell. Its total energy is -17.0 eV per formula unit.

The structure belongs to space group F-43m (No. 216); the cell edges are 6.617, 6.617 and 6.617 Å and the angles 90.00°, 90.00° and 90.00°. The distinct sites, in fractional coordinates, are La at (0.000, 0.000, 0.000), Co at (0.250, 0.250, 0.250) and Sn at (0.000, 0.000, 0.500).


Among the records above, which one has the highest volume? La3Co4Sn13


volume of number 3 (La2Co2SiSn)? 129.58 Å³ per cell